No. 1
A plane-wave DFT calculation with PBE was carried out for an optimized crystal structure of ScSi5.

Unit cell a=5.0578 b=5.0578 c=4.1827 alpha=90.00 beta=90.00 gamma=120.00
Positions (direct):
Sc 0.0000 0.0000 0.0000
Si 0.0000 0.6316 0.5000
Si 0.3333 0.6667 0.0000
Si 0.3684 0.3684 0.5000
Si 0.6316 0.0000 0.5000
Si 0.6667 0.3333 0.0000

Values from the calculation:
Its spin magnetization is 0.0 μB/f.u. As for the offset from the most stable computed form: 136.2 meV per atom. The calculation puts the final energy at -32.855 eV/f.u. Its formation energy from raw total energies is 0.099 eV/atom.


No. 2
A plane-wave DFT calculation with PBE was carried out for an optimized crystal structure of ZrScCl2.

Unit cell a=9.1379 b=9.1379 c=9.1379 alpha=20.62 beta=20.62 gamma=20.62
Positions (direct):
Zr 0.0000 0.0000 0.0000
Sc 0.5000 0.5000 0.5000
Cl 0.0996 0.0996 0.0996
Cl 0.9004 0.9004 0.9004

Values from the calculation:
Its spin magnetization is 0.0 μB/f.u. As for the offset from the most stable computed form: 375.8 meV per atom. The calculation puts the final energy at -22.479 eV/f.u. Its formation energy from raw total energies is -0.977 eV/atom.


No. 3
A plane-wave DFT calculation with PBE was carried out for an optimized crystal structure of YBPt3.

Unit cell a=5.1618 b=5.1618 c=5.1618 alpha=90.00 beta=90.00 gamma=90.00
Positions (direct):
Y 0.0000 0.0000 0.0000
B 0.5000 0.5000 0.5000
Pt 0.0000 0.0000 0.5000
Pt 0.0000 0.5000 0.0000
Pt 0.5000 0.0000 0.0000

Values from the calculation:
Its spin magnetization is 0.0 μB/f.u. As for the offset from the most stable computed form: 2676.0 meV per atom. The calculation puts the final energy at -22.191 eV/f.u. The calculation puts the formation energy at 1.815 eV/atom.